# Ag3C4

A relaxed structure of Ag3C4 (PBE, the Alexandria database).

Cell and atoms, written as POSCAR:
```
Ag3C4
1.0
0.4315 -1.0863 6.3515
-2.3414 -4.5781 -3.9073
2.4250 -0.9596 -0.3289
C Ag
4 3
Direct
0.0000 0.0000 0.2508 C
0.6667 0.3333 0.5000 C
0.0000 0.0000 0.7492 C
0.3333 0.6667 0.5000 C
0.5000 0.5000 0.0000 Ag
0.5000 0.0000 0.0000 Ag
0.0000 0.5000 0.0000 Ag
```

- total magnetic moment (μB/f.u.) = 0.00
- distance to the lowest polymorph of the same formula (eV per atom) = 0.000